Below is an optimized crystal structure of TmSiIr, with properties calculated at the GGA-PBE level.

Cell: 5.1088 5.5495 7.1374 Å, 90.00 90.00 90.00°
Space group Imma (No. 74)
One atom of each set of equivalent atoms:
Tm: 0.0000 0.2500 0.1253 x4
Si: 0.2500 0.2500 0.7500 x4
Ir: 0.0000 0.0000 0.5000 x4

Calculated values
raw formation energy = -0.93 eV/atom
total DFT energy (no corrections) = -7.19 eV/atom


Below is an optimized crystal structure of BaNbNi3, with properties calculated at the GGA-PBE level.

Cell: 4.7904 4.7904 4.7904 Å, 90.00 90.00 90.00°
Space group Pm-3m (No. 221)
One atom of each set of equivalent atoms:
Ba: 0.0000 0.0000 0.0000 x1
Nb: 0.5000 0.5000 0.5000 x1
Ni: 0.0000 0.5000 0.5000 x3

Calculated values
relative energy among the computed polymorphs = 0.00 eV/f.u.
ΔH_f (0 K) = 0.568 eV per atom
total DFT energy (no corrections) = -5.30 eV/atom


Below is an optimized crystal structure of SrCdAgAu2, with properties calculated at the GGA-PBE level.

Cell: 4.2734 4.2734 13.2272 Å, 90.00 90.00 90.00°
Space group I-4m2 (No. 119)
One atom of each set of equivalent atoms:
Sr: 0.0000 0.0000 0.0000 x2
Cd: 0.0000 0.5000 0.7500 x2
Ag: 0.0000 0.5000 0.2500 x2
Au: 0.0000 0.0000 0.3959 x4

Calculated values
ΔH_f (0 K) = -0.456 eV per atom
total DFT energy (no corrections) = -2.86 eV/atom


Below is an optimized crystal structure of YSc2W, with properties calculated at the GGA-PBE level.

Cell: 3.1573 3.1573 31.5756 Å, 90.00 90.00 120.00°
Space group R-3m (No. 166, hexagonal axes)
One atom of each set of equivalent atoms:
Y: 0.0000 0.0000 0.0000 x3
Sc: 0.0000 0.0000 0.2391 x6
W: 0.0000 0.0000 0.5000 x3

Calculated values
relative energy among the computed polymorphs = 0.40 eV/f.u.
ΔH_f (0 K) = 0.367 eV per atom
total DFT energy (no corrections) = -7.65 eV/atom